## 1
! Fe5Rh, single point on PBEsol structure, DFT SCAN; values from VASP
&SYSTEM
  ibrav = 0, nat = 6, ntyp = 2
/
ATOMIC_SPECIES
Fe 55.84 Fe.upf
Rh 102.91 Rh.upf
ATOMIC_POSITIONS angstrom
Fe 0.0000 0.0000 0.0000
Fe 0.0000 2.3333 1.6027
Fe 0.0000 2.3333 4.1494
Fe 2.0207 1.1667 0.8158
Fe 2.0207 1.1667 3.3625
Rh 0.0000 0.0000 2.4826
CELL_PARAMETERS angstrom
4.0415 0.0000 0.0000
-2.0207 3.5000 0.0000
0.0000 0.0000 4.9652
! Size of the total moment in μB/f.u.: 14.523
! Volume in A^3/atom: 11.7
! Density of states at the Fermi level in states/eV per cell: 3.12

## 2
! Fe5Rh, single point on PBEsol structure, DFT SCAN; values from VASP
&SYSTEM
  ibrav = 0, nat = 6, ntyp = 2
/
ATOMIC_SPECIES
Fe 55.84 Fe.upf
Rh 102.91 Rh.upf
ATOMIC_POSITIONS angstrom
Fe 0.0000 0.0000 0.0000
Fe 0.8204 1.1378 2.0249
Fe 1.6591 2.2963 3.9651
Fe 2.5367 3.5040 2.0364
Fe 3.3754 4.6625 3.9767
Rh 1.6773 2.3215 0.0000
CELL_PARAMETERS angstrom
2.5146 0.0000 0.0000
0.8400 4.6430 0.0000
0.8412 1.1573 6.0015
! Size of the total moment in μB/f.u.: 14.409
! Volume in A^3/atom: 11.7
! Density of states at the Fermi level in states/eV per cell: 3.09

## 3
! Fe5Rh, single point on PBEsol structure, DFT SCAN; values from VASP
&SYSTEM
  ibrav = 0, nat = 6, ntyp = 2
/
ATOMIC_SPECIES
Fe 55.84 Fe.upf
Rh 102.91 Rh.upf
ATOMIC_POSITIONS angstrom
Fe 0.0000 0.0000 0.0000
Fe 0.0000 0.0000 3.8781
Fe 0.0000 0.0000 8.1094
Fe 1.4051 0.0000 1.9397
Fe 1.4051 0.0000 10.0477
Rh 1.4051 0.0000 5.9937
CELL_PARAMETERS angstrom
1.4051 -2.0678 0.0000
1.4051 2.0678 0.0000
0.0000 0.0000 11.9874
! Size of the total moment in μB/f.u.: 14.214
! Volume in A^3/atom: 11.6
! Density of states at the Fermi level in states/eV per cell: 4.12

Energy comparison, zero being the most stable, in eV/atom: 1 0.000; 2 0.048; 3 0.117.